# Zn3WO3

Zn3WO3 after structural relaxation (PBE with a Hubbard U, the Alexandria database).

Calculated values
magnetic moment = 0.81 μB per atom
DFT total energy = -4.17 eV/atom
density = 7.3 g/cm3
N(E_F) = 1.47 states/eV per cell

```
Zn3WO3
1.0
5.802 0.000 0.000
0.000 5.802 0.000
0.000 0.000 5.802
O Zn W
6 6 2
direct
0.250 0.500 0.000
0.500 0.000 0.750
0.500 0.000 0.250
0.000 0.750 0.500
0.000 0.250 0.500
0.750 0.500 0.000
0.000 0.500 0.750
0.000 0.500 0.250
0.750 0.000 0.500
0.500 0.250 0.000
0.250 0.000 0.500
0.500 0.750 0.000
0.500 0.500 0.500
0.000 0.000 0.000
```